1.
Density functional theory data (PBE) for a geometry-optimized Rb2Na2HgSb2 structure.

```
data_Rb2Na2HgSb2
_chemical_formula_sum 'Rb2 Na2 Hg1 Sb2'
_symmetry_space_group_name_H-M 'P 1'
_symmetry_Int_Tables_number 1
_symmetry_space_group_name_Hall 'P 1'
_cell_length_a 11.026
_cell_length_b 11.026
_cell_length_c 11.026
_cell_angle_alpha 30.06
_cell_angle_beta 30.06
_cell_angle_gamma 30.06
loop_
_atom_site_label
_atom_site_type_symbol
_atom_site_fract_x
_atom_site_fract_y
_atom_site_fract_z
Rb1 Rb 0.206 0.206 0.206
Rb2 Rb 0.794 0.794 0.794
Sb1 Sb 0.085 0.085 0.085
Sb2 Sb 0.915 0.915 0.915
Na1 Na 0.391 0.391 0.391
Na2 Na 0.609 0.609 0.609
Hg1 Hg 0.000 0.000 0.000
```



2.
Density functional theory data (PBE) for a geometry-optimized In2CuSe2S2 structure.

```
data_In2CuSe2S2
_chemical_formula_sum 'In2 Cu1 Se2 S2'
_symmetry_space_group_name_H-M 'P 1'
_symmetry_Int_Tables_number 1
_symmetry_space_group_name_Hall 'P 1'
_cell_length_a 6.960
_cell_length_b 6.960
_cell_length_c 5.550
_cell_angle_alpha 113.04
_cell_angle_beta 113.04
_cell_angle_gamma 111.86
loop_
_atom_site_label
_atom_site_type_symbol
_atom_site_fract_x
_atom_site_fract_y
_atom_site_fract_z
S1 S 0.376 0.124 0.030
S2 S 0.876 0.624 0.970
Se1 Se 0.669 0.927 0.538
Se2 Se 0.073 0.331 0.462
In1 In 0.503 0.497 0.000
In2 In 0.245 0.755 0.500
Cu1 Cu 0.008 0.992 0.000
```



3.
Density functional theory data (PBE) for a geometry-optimized Tb2DyGe3PdPt2 structure.

```
data_Tb2DyGe3PdPt2
_chemical_formula_sum 'Tb2 Dy1 Ge3 Pd1 Pt2'
_symmetry_space_group_name_H-M 'P 1'
_symmetry_Int_Tables_number 1
_symmetry_space_group_name_Hall 'P 1'
_cell_length_a 3.920
_cell_length_b 7.250
_cell_length_c 7.250
_cell_angle_alpha 119.92
_cell_angle_beta 90.00
_cell_angle_gamma 90.00
loop_
_atom_site_label
_atom_site_type_symbol
_atom_site_fract_x
_atom_site_fract_y
_atom_site_fract_z
Pt1 Pt 0.500 0.666 0.334
Pt2 Pt 0.500 0.334 0.666
Pd1 Pd 0.000 0.001 0.001
Dy1 Dy 0.000 0.406 0.406
Ge1 Ge 0.500 0.255 0.000
Ge2 Ge 0.500 0.744 0.744
Ge3 Ge 0.500 0.000 0.255
Tb1 Tb 0.000 0.000 0.594
Tb2 Tb 0.000 0.594 0.000
```

Values from the calculation:
total magnetization = 0.0001 μB/atom



4.
Density functional theory data (PBE) for a geometry-optimized Dy2Er2CI3Cl2 structure.

```
data_Dy2Er2CI3Cl2
_chemical_formula_sum 'Dy2 Er2 C1 I3 Cl2'
_symmetry_space_group_name_H-M 'P 1'
_symmetry_Int_Tables_number 1
_symmetry_space_group_name_Hall 'P 1'
_cell_length_a 9.285
_cell_length_b 9.285
_cell_length_c 8.385
_cell_angle_alpha 99.91
_cell_angle_beta 99.91
_cell_angle_gamma 24.01
loop_
_atom_site_label
_atom_site_type_symbol
_atom_site_fract_x
_atom_site_fract_y
_atom_site_fract_z
I1 I 0.500 0.500 0.500
I2 I 0.826 0.826 0.194
I3 I 0.174 0.174 0.806
Cl1 Cl 0.148 0.148 0.298
Cl2 Cl 0.852 0.852 0.702
Dy1 Dy 0.634 0.634 0.064
Dy2 Dy 0.366 0.366 0.936
Er1 Er 0.998 0.998 0.189
Er2 Er 0.002 0.002 0.811
C1 C 0.500 0.500 0.000
```

Values from the calculation:
total magnetization = 0.0337 μB/atom



5.
Density functional theory data (PBE) for a geometry-optimized Ta3TlSb5 structure.

```
data_Ta3TlSb5
_chemical_formula_sum 'Ta3 Tl1 Sb5'
_symmetry_space_group_name_H-M 'P 1'
_symmetry_Int_Tables_number 1
_symmetry_space_group_name_Hall 'P 1'
_cell_length_a 5.759
_cell_length_b 5.759
_cell_length_c 8.770
_cell_angle_alpha 90.00
_cell_angle_beta 90.00
_cell_angle_gamma 120.00
loop_
_atom_site_label
_atom_site_type_symbol
_atom_site_fract_x
_atom_site_fract_y
_atom_site_fract_z
Tl1 Tl 0.000 0.000 0.000
Sb1 Sb 0.000 0.000 0.500
Sb2 Sb 0.667 0.333 0.226
Sb3 Sb 0.333 0.667 0.226
Sb4 Sb 0.667 0.333 0.774
Sb5 Sb 0.333 0.667 0.774
Ta1 Ta 0.500 0.000 0.500
Ta2 Ta 0.500 0.500 0.500
Ta3 Ta 0.000 0.500 0.500
```

Values from the calculation:
total magnetization = 0.0016 μB/atom



6.
Density functional theory data (PBE) for a geometry-optimized Sm2GeS4 structure.

```
data_Sm2GeS4
_chemical_formula_sum 'Sm4 Ge2 S8'
_symmetry_space_group_name_H-M 'P 1'
_symmetry_Int_Tables_number 1
_symmetry_space_group_name_Hall 'P 1'
_cell_length_a 6.952
_cell_length_b 6.738
_cell_length_c 7.554
_cell_angle_alpha 90.00
_cell_angle_beta 109.64
_cell_angle_gamma 90.00
loop_
_atom_site_label
_atom_site_type_symbol
_atom_site_fract_x
_atom_site_fract_y
_atom_site_fract_z
Sm1 Sm 0.753 0.767 0.428
Sm2 Sm 0.247 0.267 0.572
Sm3 Sm 0.822 0.755 0.952
Sm4 Sm 0.178 0.255 0.048
Ge1 Ge 0.698 0.294 0.237
Ge2 Ge 0.302 0.794 0.763
S1 S 0.041 0.538 0.735
S2 S 0.050 0.536 0.250
S3 S 0.528 0.596 0.631
S4 S 0.488 0.664 0.075
S5 S 0.950 0.036 0.750
S6 S 0.959 0.038 0.265
S7 S 0.472 0.096 0.369
S8 S 0.512 0.164 0.925
```

Values from the calculation:
total magnetization = 0.0001 μB/atom



7.
Density functional theory data (PBE) for a geometry-optimized La2NdMg3Ir3 structure.

```
data_La2NdMg3Ir3
_chemical_formula_sum 'La2 Nd1 Mg3 Ir3'
_symmetry_space_group_name_H-M 'P 1'
_symmetry_Int_Tables_number 1
_symmetry_space_group_name_Hall 'P 1'
_cell_length_a 4.187
_cell_length_b 7.475
_cell_length_c 7.475
_cell_angle_alpha 120.30
_cell_angle_beta 90.00
_cell_angle_gamma 90.00
loop_
_atom_site_label
_atom_site_type_symbol
_atom_site_fract_x
_atom_site_fract_y
_atom_site_fract_z
Mg1 Mg 0.500 0.761 0.998
Mg2 Mg 0.500 0.998 0.761
Mg3 Mg 0.500 0.241 0.241
Ir1 Ir 0.000 0.998 0.998
Ir2 Ir 0.500 0.665 0.331
Ir3 Ir 0.500 0.331 0.665
La1 La 0.000 0.415 0.001
La2 La 0.000 0.001 0.415
Nd1 Nd 0.000 0.589 0.589
```

Values from the calculation:
total magnetization = 0.0002 μB/atom



8.
Density functional theory data (PBE) for a geometry-optimized CuRePtPb structure.

```
data_CuRePtPb
_chemical_formula_sum 'Cu1 Re1 Pt1 Pb1'
_symmetry_space_group_name_H-M 'P 1'
_symmetry_Int_Tables_number 1
_symmetry_space_group_name_Hall 'P 1'
_cell_length_a 4.621
_cell_length_b 4.621
_cell_length_c 4.621
_cell_angle_alpha 60.00
_cell_angle_beta 60.00
_cell_angle_gamma 60.00
loop_
_atom_site_label
_atom_site_type_symbol
_atom_site_fract_x
_atom_site_fract_y
_atom_site_fract_z
Pt1 Pt 0.250 0.250 0.250
Cu1 Cu 0.750 0.750 0.750
Pb1 Pb 0.000 0.000 0.000
Re1 Re 0.500 0.500 0.500
```

Values from the calculation:
polymorph energy (0 for the lowest one) = 103 meV per atom
total magnetization = 0.6968 μB/atom



9.
Density functional theory data (PBE) for a geometry-optimized TmGaAg2O4 structure.

```
data_TmGaAg2O4
_chemical_formula_sum 'Tm1 Ga1 Ag2 O4'
_symmetry_space_group_name_H-M 'P 1'
_symmetry_Int_Tables_number 1
_symmetry_space_group_name_Hall 'P 1'
_cell_length_a 3.206
_cell_length_b 3.206
_cell_length_c 12.545
_cell_angle_alpha 90.00
_cell_angle_beta 90.00
_cell_angle_gamma 120.00
loop_
_atom_site_label
_atom_site_type_symbol
_atom_site_fract_x
_atom_site_fract_y
_atom_site_fract_z
Tm1 Tm 0.000 0.000 0.500
O1 O 0.667 0.333 0.925
O2 O 0.333 0.667 0.075
O3 O 0.667 0.333 0.591
O4 O 0.333 0.667 0.409
Ag1 Ag 0.667 0.333 0.757
Ag2 Ag 0.333 0.667 0.243
Ga1 Ga 0.000 0.000 0.000
```

Values from the calculation:
total magnetization = 0.0002 μB/atom



10.
Density functional theory data (PBE) for a geometry-optimized HoCuSnSeS2 structure.

```
data_HoCuSnSeS2
_chemical_formula_sum 'Ho2 Cu2 Sn2 Se2 S4'
_symmetry_space_group_name_H-M 'P 1'
_symmetry_Int_Tables_number 1
_symmetry_space_group_name_Hall 'P 1'
_cell_length_a 6.910
_cell_length_b 6.910
_cell_length_c 10.370
_cell_angle_alpha 90.00
_cell_angle_beta 90.00
_cell_angle_gamma 147.34
loop_
_atom_site_label
_atom_site_type_symbol
_atom_site_fract_x
_atom_site_fract_y
_atom_site_fract_z
S1 S 0.135 0.865 0.430
S2 S 0.865 0.135 0.570
S3 S 0.135 0.865 0.070
S4 S 0.865 0.135 0.930
Ho1 Ho 0.500 0.500 0.500
Ho2 Ho 0.500 0.500 0.000
Sn1 Sn 0.272 0.728 0.750
Sn2 Sn 0.728 0.272 0.250
Se1 Se 0.410 0.590 0.250
Se2 Se 0.590 0.410 0.750
Cu1 Cu 0.969 0.031 0.750
Cu2 Cu 0.031 0.969 0.250
```

Values from the calculation:
total magnetization = 0.0006 μB/atom



11.
Density functional theory data (PBE) for a geometry-optimized Nb4Co5Sb5 structure.

```
data_Nb4Co5Sb5
_chemical_formula_sum 'Nb4 Co5 Sb5'
_symmetry_space_group_name_H-M 'P 1'
_symmetry_Int_Tables_number 1
_symmetry_space_group_name_Hall 'P 1'
_cell_length_a 7.230
_cell_length_b 7.230
_cell_length_c 7.230
_cell_angle_alpha 99.74
_cell_angle_beta 99.74
_cell_angle_gamma 131.43
loop_
_atom_site_label
_atom_site_type_symbol
_atom_site_fract_x
_atom_site_fract_y
_atom_site_fract_z
Co1 Co 0.650 0.950 0.100
Co2 Co 0.459 0.364 0.280
Co3 Co 0.885 0.579 0.920
Co4 Co 0.236 0.715 0.495
Co5 Co 0.021 0.141 0.705
Nb1 Nb 0.196 0.598 0.804
Nb2 Nb 0.594 0.791 0.396
Nb3 Nb 0.809 0.404 0.203
Nb4 Nb 0.002 0.006 0.997
Sb1 Sb 0.112 0.285 0.409
Sb2 Sb 0.900 0.700 0.600
Sb3 Sb 0.315 0.924 0.227
Sb4 Sb 0.497 0.488 0.973
Sb5 Sb 0.676 0.103 0.791
```

Values from the calculation:
total magnetization = 0.0009 μB/atom



12.
Density functional theory data (PBE) for a geometry-optimized TmInNi structure.

```
data_TmInNi
_chemical_formula_sum 'Tm3 In3 Ni3'
_symmetry_space_group_name_H-M 'P 1'
_symmetry_Int_Tables_number 1
_symmetry_space_group_name_Hall 'P 1'
_cell_length_a 8.128
_cell_length_b 8.128
_cell_length_c 3.185
_cell_angle_alpha 90.00
_cell_angle_beta 90.00
_cell_angle_gamma 120.00
loop_
_atom_site_label
_atom_site_type_symbol
_atom_site_fract_x
_atom_site_fract_y
_atom_site_fract_z
In1 In 0.333 0.667 0.000
In2 In 0.667 0.333 0.000
In3 In 0.000 0.000 0.500
Tm1 Tm 0.301 0.000 0.000
Tm2 Tm 0.699 0.699 0.000
Tm3 Tm 0.000 0.301 0.000
Ni1 Ni 0.000 0.634 0.500
Ni2 Ni 0.634 0.000 0.500
Ni3 Ni 0.366 0.366 0.500
```

Values from the calculation:
total magnetization = 0.0018 μB/atom



no.,calculated total energy (eV per cell),calculated volume (A^3/atom)
1,-15.65,42.58
2,-27.13,25.51
3,-54.17,19.84
4,-49.15,28.95
5,-58.78,27.99
6,-80.83,23.80
7,-51.40,22.44
8,-22.99,17.45
9,-46.57,13.95
10,-60.13,22.26
11,-101.79,18.45
12,-38.23,20.25